1.
First-principles (PBE) data for a relaxed KNaNiSb2 crystal, as listed in Alexandria.

POSCAR file:
```
KNaNiSb2
1.0
-1.5603 -4.0363 2.5856
3.4481 1.2541 4.0386
-3.5817 2.7888 2.1921
Na Sb K Ni
1 2 1 1
Direct
0.0000 0.5000 0.0000
0.0000 0.0000 0.5000
0.5000 0.0000 0.0000
0.5000 0.5000 0.5000
0.0000 0.0000 0.0000
```

* raw total energy: -17.1 eV per cell

---

2.
First-principles (PBE) data for a relaxed AcPmSnRh crystal, as listed in Alexandria.

POSCAR file:
```
AcPmSnRh
1.0
4.8786 0.0000 0.0000
0.0000 4.8786 0.0000
0.0000 0.0000 10.4366
Rh Ac Sn Pm
2 2 2 2
Direct
0.5000 0.0000 0.6422
0.0000 0.5000 0.3578
0.5000 0.0000 0.1992
0.0000 0.5000 0.8008
0.0000 0.5000 0.1111
0.5000 0.0000 0.8889
0.5000 0.5000 0.5000
0.0000 0.0000 0.5000
```

* energy above the lowest structure with this stoichiometry: 0 meV per atom

---

3.
First-principles (PBE) data for a relaxed RbNbFe2 crystal, as listed in Alexandria.

POSCAR file:
```
RbNbFe2
1.0
-1.6495 -3.1317 -2.9104
-3.5722 1.0216 -2.6823
0.5994 0.5254 -4.5126
Fe Rb Nb
2 1 1
Direct
0.2500 0.2500 0.2500
0.7500 0.7500 0.7500
0.0000 0.0000 0.0000
0.5000 0.5000 0.5000
```

* energy above the lowest structure with this stoichiometry: 106 meV per atom

---

4.
First-principles (PBE) data for a relaxed CoCu3Se crystal, as listed in Alexandria.

POSCAR file:
```
CoCu3Se
1.0
4.4960 0.0000 0.0000
0.0000 4.4960 0.0000
0.0000 0.0000 4.4960
Cu Se Co
3 1 1
Direct
0.0000 0.5000 0.0000
0.0000 0.0000 0.5000
0.5000 0.0000 0.0000
0.0000 0.0000 0.0000
0.5000 0.5000 0.5000
```

* energy above the lowest structure with this stoichiometry: 3 meV per atom

---

5.
First-principles (PBE) data for a relaxed BaGaBIr2 crystal, as listed in Alexandria.

POSCAR file:
```
BaGaBIr2
1.0
5.2215 0.0000 0.0000
0.0000 5.0108 0.0000
0.0000 0.0000 5.2215
Ir Ga Ba B
2 1 1 1
Direct
0.5000 0.0000 0.0000
0.0000 0.0000 0.5000
0.5000 0.5000 0.5000
0.0000 0.0000 0.0000
0.0000 0.5000 0.0000
```

* raw total energy: -16.2 eV per cell

---

6.
First-principles (PBE) data for a relaxed CsZr3Se crystal, as listed in Alexandria.

POSCAR file:
```
CsZr3Se
1.0
-3.2719 2.0511 -3.5226
2.7772 -2.1846 -3.8517
-2.9837 -4.2826 0.2777
Zr Se Cs
3 1 1
Direct
0.5000 0.0000 0.0000
0.0000 0.0000 0.5000
0.0000 0.5000 0.0000
0.0000 0.0000 0.0000
0.5000 0.5000 0.5000
```

* raw total energy: -27.6 eV per cell

---

7.
First-principles (PBE) data for a relaxed Y4ErAl2 crystal, as listed in Alexandria.

POSCAR file:
```
Y4ErAl2
1.0
5.0339 0.0000 0.0000
2.5170 4.3595 0.0000
2.5170 1.4532 10.0198
Y Al Er
4 2 1
Direct
0.8963 0.8963 0.3110
0.2974 0.2974 0.1078
0.7026 0.7026 0.8922
0.1037 0.1037 0.6890
0.5993 0.5993 0.2020
0.4007 0.4007 0.7980
0.5000 0.5000 0.5000
```

* energy above the lowest structure with this stoichiometry: 287 meV per atom

---

8.
First-principles (PBE) data for a relaxed Na3BeSe3 crystal, as listed in Alexandria.

POSCAR file:
```
Na3BeSe3
1.0
-5.9626 -3.0758 -1.4876
2.9286 -7.3106 3.3770
-4.6626 4.4945 9.3959
Se Be Na
12 4 12
Direct
0.9656 0.6280 0.3441
0.9133 0.9273 0.6255
0.5867 0.9273 0.1255
0.0344 0.3720 0.6559
0.0867 0.0727 0.3745
0.4133 0.0727 0.8745
0.5344 0.6280 0.8441
0.8693 0.2655 0.0320
0.1307 0.7345 0.9680
0.6307 0.2655 0.5320
0.3693 0.7345 0.4680
0.4656 0.3720 0.1559
0.4220 0.8476 0.9563
0.5780 0.1524 0.0437
0.9220 0.1524 0.5437
0.0780 0.8476 0.4563
0.6762 0.9234 0.3766
0.2052 0.6982 0.7016
0.1762 0.0766 0.1234
0.7052 0.3018 0.7984
0.2736 0.3914 0.4245
0.7736 0.6086 0.0755
0.3238 0.0766 0.6234
0.7264 0.6086 0.5755
0.8238 0.9234 0.8766
0.2264 0.3914 0.9245
0.7948 0.3018 0.2984
0.2948 0.6982 0.2016
```

* raw total energy: -96.2 eV per cell

---

Record-wise V values, in A^3/atom: 27.731; 31.050; 17.011; 18.176; 27.323; 28.561; 31.413; 23.723
Record-wise DOS(E_F) values, in states/eV per atom: 0.725; 0.808; 1.275; 0.840; 0.908; 0.869; 1.395; 0.073